Here is a relaxed Cs2PuSbSe4 crystal from the Alexandria database. Energies are from PBE.

The value obtained for the theoretical density is 4.62 Mg/m³. As for the uncorrected formation energy: -0.88 eV per atom. As for the total moment: 10.0 Bohr magnetons per cell. Its total DFT energy (no corrections) is -0.1891 Ha/atom.

The structure belongs to space group I-4 (No. 82); the cell edges are 8.2506, 8.2506 and 10.0060 Å and the angles 90.00°, 90.00° and 90.00°. Symmetry generates all atoms from Cs at (0.0000, 0.0000, 0.0000), Cs at (0.0000, 0.5000, 0.2500), Pu at (0.0000, 0.5000, 0.7500), Sb at (0.0000, 0.0000, 0.5000) and Se at (0.1654, 0.2457, 0.6260).

***

Here is a relaxed NaLiCe crystal from the Alexandria database. Energies are from PBE.

The value obtained for the theoretical density is 3.49 Mg/m³. As for the total moment: 0.5 Bohr magnetons per cell. Its total DFT energy (no corrections) is -0.1029 Ha/atom.

The structure belongs to space group P4/nmm (No. 129, origin choice 2); the cell edges are 4.1182, 4.1182 and 9.5469 Å and the angles 90.00°, 90.00° and 90.00°. Symmetry generates all atoms from Na at (0.2500, 0.2500, 0.1315), Li at (0.2500, 0.2500, 0.7799) and Ce at (0.2500, 0.7500, 0.5000).

***

> Which of these has the lowest total DFT energy (no corrections)?

Cs2PuSbSe4